Material: NbCrBiO6
Method: DFT, PBE with a Hubbard U
State: optimized geometry

Unit cell a=4.853 b=4.853 c=9.754 alpha=90.00 beta=90.00 gamma=90.00
Space group P4_2nm (No. 102)
Inequivalent atoms, fractional coordinates:
Nb 0.000 0.000 0.000 [2 per cell]
Cr 0.000 0.000 0.341 [2 per cell]
Bi 0.000 0.000 0.668 [2 per cell]
O 0.175 0.175 0.172 [4 per cell]
O 0.203 0.203 0.490 [4 per cell]
O 0.205 0.205 0.859 [4 per cell]

Its density of states at the Fermi level is 0.19 states/eV/atom. The calculation puts the total energy at -7.52 eV/atom. Its crystal system is tetragonal. The density is 6.50 g/cm³.